Entry 1:
DFT (GGA-PBE) results for a relaxed Rb3TlAu4 crystal.

abc: 6.930 9.170 8.978
angles: 90.00 90.00 90.00
Space group Imm2 (No. 44)
Inequivalent atoms, fractional coordinates:
Rb 0.000 0.000 0.000 (multiplicity 2)
Rb 0.000 0.261 0.340 (multiplicity 4)
Tl 0.000 0.500 0.897 (multiplicity 2)
Au 0.000 0.247 0.722 (multiplicity 4)
Au 0.202 0.000 0.610 (multiplicity 4)

Summary:
Theoretical density = 7.27 g/cm3
ΔH_f (0 K) = -214 meV per atom

=====

Entry 2:
DFT (GGA-PBE) results for a relaxed RbTl3Au crystal.

abc: 5.719 5.719 5.719
angles: 90.00 90.00 90.00
Space group Pm-3m (No. 221)
Inequivalent atoms, fractional coordinates:
Rb 0.000 0.000 0.000 (multiplicity 1)
Tl 0.000 0.500 0.500 (multiplicity 3)
Au 0.500 0.500 0.500 (multiplicity 1)

Summary:
Theoretical density = 7.95 g/cm3
ΔH_f (0 K) = 41 meV per atom

=====

The highest theoretical density belongs to which entry? RbTl3Au

=====

Repeat the second record exactly.
DFT (GGA-PBE) results for a relaxed RbTl3Au crystal.

abc: 5.719 5.719 5.719
angles: 90.00 90.00 90.00
Space group Pm-3m (No. 221)
Inequivalent atoms, fractional coordinates:
Rb 0.000 0.000 0.000 (multiplicity 1)
Tl 0.000 0.500 0.500 (multiplicity 3)
Au 0.500 0.500 0.500 (multiplicity 1)

Summary:
Theoretical density = 7.95 g/cm3
ΔH_f (0 K) = 41 meV per atom